Entry 1:
DFT (PBE) results for an optimized crystal structure of AcHo2Al.

a b c (Å): 6.6010 6.6010 6.6010
angles (deg): 45.27 45.27 45.27
With the nearest neighbours (Å) after each atom.
Atoms (fractional coordinates):
Ac1 0.0000 0.0000 0.0000  4 Al 3.47-3.82, 7 Ho 3.58-3.75
Ho1 0.5507 0.5507 0.5507  3 Al 2.96
Ho2 0.7885 0.7885 0.7885  3 Al 3.21, 3 Ho 3.39
Al1 0.1957 0.1957 0.1957  6 Ho 2.96-3.21

Entry 2:
DFT (PBE) results for an optimized crystal structure of DyPu6.

a b c (Å): 5.7925 5.7925 5.7925
angles (deg): 109.47 109.47 109.47
With the nearest neighbours (Å) after each atom.
Atoms (fractional coordinates):
Dy1 0.0000 0.0000 0.0000  24 Pu 3.74
Pu1 0.2500 0.5000 0.7500  4 Pu 2.36
Pu2 0.2500 0.7500 0.5000  4 Pu 2.36
Pu3 0.5000 0.2500 0.7500  4 Pu 2.36
Pu4 0.5000 0.7500 0.2500  4 Pu 2.36
Pu5 0.7500 0.2500 0.5000  4 Pu 2.36
Pu6 0.7500 0.5000 0.2500  4 Pu 2.36

no.,ΔE_f (meV/atom),size of the total moment (μB/f.u.),E (eV per atom)
1,22,0.00,-4.2298
2,128,0.00,-12.8137